1.
Below is Li2CuNi after structural relaxation, with properties calculated at the PBE level.

The structure in CIF format:
```
data_Li2CuNi
_cell_length_a 2.7051
_cell_length_b 4.2150
_cell_length_c 4.2382
_cell_angle_alpha 90.00
_cell_angle_beta 90.00
_cell_angle_gamma 90.00
_symmetry_space_group_name_H-M 'P m m m'
_symmetry_Int_Tables_number 47
_symmetry_space_group_name_Hall '-P 2 2'
loop_
_atom_site_label
_atom_site_fract_x
_atom_site_fract_y
_atom_site_fract_z
_atom_site_occupancy
Li1 0.0000 0.0000 0.0000 1
Li2 0.5000 0.5000 0.0000 1
Cu1 0.0000 0.5000 0.5000 1
Ni1 0.5000 0.0000 0.5000 1
```

Results
Energy relative to the lowest polymorph listed for this composition ... 0.005 eV/atom
Calculated formation energy ... -0.01 eV per atom

2.
Below is AlCr2Os after structural relaxation, with properties calculated at the PBE level.

The structure in CIF format:
```
data_AlCr2Os
_cell_length_a 3.6002
_cell_length_b 3.6002
_cell_length_c 4.0304
_cell_angle_alpha 90.00
_cell_angle_beta 90.00
_cell_angle_gamma 90.00
_symmetry_space_group_name_H-M 'P 4/m m m'
_symmetry_Int_Tables_number 123
_symmetry_space_group_name_Hall '-P 4 2'
loop_
_atom_site_label
_atom_site_fract_x
_atom_site_fract_y
_atom_site_fract_z
_atom_site_occupancy
Al1 0.0000 0.0000 0.0000 1
Cr1 0.0000 0.5000 0.5000 1
Os1 0.5000 0.5000 0.0000 1
```

Results
Calculated formation energy ... 0.07 eV per atom

3.
Below is UNiIr after structural relaxation, with properties calculated at the PBE level.

The structure in CIF format:
```
data_UNiIr
_cell_length_a 4.3980
_cell_length_b 4.3980
_cell_length_c 3.0004
_cell_angle_alpha 90.00
_cell_angle_beta 90.00
_cell_angle_gamma 120.00
_symmetry_space_group_name_H-M 'P -6 m 2'
_symmetry_Int_Tables_number 187
_symmetry_space_group_name_Hall 'P -6 2'
loop_
_atom_site_label
_atom_site_fract_x
_atom_site_fract_y
_atom_site_fract_z
_atom_site_occupancy
U1 0.0000 0.0000 0.0000 1
Ni1 0.3333 0.6667 0.5000 1
Ir1 0.6667 0.3333 0.5000 1
```

Results
Energy relative to the lowest polymorph listed for this composition ... 0.196 eV/atom
Calculated formation energy ... -0.27 eV per atom

4.
Below is Ca3Cd5Cl12 after structural relaxation, with properties calculated at the PBE level.

The structure in CIF format:
```
data_Ca3Cd5Cl12
_cell_length_a 16.8971
_cell_length_b 16.8971
_cell_length_c 16.8971
_cell_angle_alpha 90.00
_cell_angle_beta 90.00
_cell_angle_gamma 90.00
_symmetry_space_group_name_H-M 'I a -3 d'
_symmetry_Int_Tables_number 230
_symmetry_space_group_name_Hall '-I 4bd 2c 3'
loop_
_atom_site_label
_atom_site_fract_x
_atom_site_fract_y
_atom_site_fract_z
_atom_site_occupancy
Ca1 0.0000 0.2500 0.1250 1
Cd1 0.0000 0.0000 0.0000 1
Cd2 0.0000 0.2500 0.3750 1
Cl1 0.0244 0.0725 0.6661 1
```

5.
Below is Cs2Cl2F after structural relaxation, with properties calculated at the PBE level.

The structure in CIF format:
```
data_Cs2Cl2F
_cell_length_a 4.2816
_cell_length_b 4.2816
_cell_length_c 18.0706
_cell_angle_alpha 90.00
_cell_angle_beta 90.00
_cell_angle_gamma 90.00
_symmetry_space_group_name_H-M 'I 4/m m m'
_symmetry_Int_Tables_number 139
_symmetry_space_group_name_Hall '-I 4 2'
loop_
_atom_site_label
_atom_site_fract_x
_atom_site_fract_y
_atom_site_fract_z
_atom_site_occupancy
Cs1 0.0000 0.0000 0.1010 1
Cl1 0.0000 0.5000 0.2500 1
F1 0.0000 0.0000 0.5000 1
```

Results
Energy relative to the lowest polymorph listed for this composition ... 0.128 eV/atom

6.
Below is MgAsP after structural relaxation, with properties calculated at the PBE level.

The structure in CIF format:
```
data_MgAsP
_cell_length_a 3.5608
_cell_length_b 3.5608
_cell_length_c 11.3601
_cell_angle_alpha 90.00
_cell_angle_beta 90.00
_cell_angle_gamma 90.00
_symmetry_space_group_name_H-M 'I 4 m m'
_symmetry_Int_Tables_number 107
_symmetry_space_group_name_Hall 'I 4 -2'
loop_
_atom_site_label
_atom_site_fract_x
_atom_site_fract_y
_atom_site_fract_z
_atom_site_occupancy
Mg1 0.0000 0.0000 0.0000 1
As1 0.0000 0.0000 0.6338 1
P1 0.0000 0.0000 0.4332 1
```

Results
Energy relative to the lowest polymorph listed for this composition ... 0.153 eV/atom
Calculated formation energy ... -0.08 eV per atom

7.
Below is KSrAg10 after structural relaxation, with properties calculated at the PBE level.

The structure in CIF format:
```
data_KSrAg10
_cell_length_a 4.6511
_cell_length_b 5.7403
_cell_length_c 10.1073
_cell_angle_alpha 90.00
_cell_angle_beta 90.00
_cell_angle_gamma 90.00
_symmetry_space_group_name_H-M 'P m m m'
_symmetry_Int_Tables_number 47
_symmetry_space_group_name_Hall '-P 2 2'
loop_
_atom_site_label
_atom_site_fract_x
_atom_site_fract_y
_atom_site_fract_z
_atom_site_occupancy
K1 0.0000 0.0000 0.0000 1
Sr1 0.0000 0.5000 0.5000 1
Ag1 0.0000 0.0000 0.3345 1
Ag2 0.0000 0.5000 0.1684 1
Ag3 0.5000 0.0000 0.5000 1
Ag4 0.5000 0.2533 0.2544 1
Ag5 0.5000 0.5000 0.0000 1
```

Results
Calculated formation energy ... -0.09 eV per atom

8.
Below is Tb2Nd4SmDy2 after structural relaxation, with properties calculated at the PBE level.

The structure in CIF format:
```
data_Tb2Nd4SmDy2
_cell_length_a 15.3645
_cell_length_b 5.1116
_cell_length_c 8.0794
_cell_angle_alpha 90.00
_cell_angle_beta 108.46
_cell_angle_gamma 90.00
_symmetry_space_group_name_H-M 'C 1 2/m 1'
_symmetry_Int_Tables_number 12
_symmetry_space_group_name_Hall '-C 2y'
loop_
_atom_site_label
_atom_site_fract_x
_atom_site_fract_y
_atom_site_fract_z
_atom_site_occupancy
Tb1 0.1114 0.0000 0.1684 1
Nd1 0.0544 0.5000 0.8318 1
Nd2 0.2228 0.0000 0.8319 1
Sm1 0.0000 0.0000 0.5000 1
Dy1 0.1676 0.5000 0.4994 1
```

Results
Calculated formation energy ... 0.02 eV per atom

9.
Below is NdDy after structural relaxation, with properties calculated at the PBE level.

The structure in CIF format:
```
data_NdDy
_cell_length_a 5.8019
_cell_length_b 3.6795
_cell_length_c 6.3256
_cell_angle_alpha 90.00
_cell_angle_beta 90.00
_cell_angle_gamma 90.00
_symmetry_space_group_name_H-M 'P m m a'
_symmetry_Int_Tables_number 51
_symmetry_space_group_name_Hall '-P 2a 2a'
loop_
_atom_site_label
_atom_site_fract_x
_atom_site_fract_y
_atom_site_fract_z
_atom_site_occupancy
Nd1 0.2500 0.0000 0.1686 1
Dy1 0.2500 0.5000 0.6659 1
```

Results
Energy relative to the lowest polymorph listed for this composition ... 0.000 eV/atom
Calculated formation energy ... 0.03 eV per atom

10.
Below is PmHg4Pb after structural relaxation, with properties calculated at the PBE level.

The structure in CIF format:
```
data_PmHg4Pb
_cell_length_a 5.2902
_cell_length_b 7.1882
_cell_length_c 8.4108
_cell_angle_alpha 90.00
_cell_angle_beta 102.01
_cell_angle_gamma 90.00
_symmetry_space_group_name_H-M 'P 1 21/m 1'
_symmetry_Int_Tables_number 11
_symmetry_space_group_name_Hall '-P 2yb'
loop_
_atom_site_label
_atom_site_fract_x
_atom_site_fract_y
_atom_site_fract_z
_atom_site_occupancy
Pm1 0.1806 0.2500 0.3516 1
Hg1 0.1884 0.7500 0.3609 1
Hg2 0.3310 0.0189 0.6866 1
Hg3 0.4885 0.7500 0.9718 1
Pb1 0.0000 0.0000 0.0000 1
```

Results
Energy relative to the lowest polymorph listed for this composition ... 0.013 eV/atom
Calculated formation energy ... -0.23 eV per atom

Number 1: E_tot -3.434 eV per atom, total magnetization 0.00 μB per atom. Number 2: E_tot -8.485 eV per atom, total magnetization 0.00 μB per atom. Number 3: E_tot -8.914 eV per atom, total magnetization 0.36 μB per atom. Number 4: E_tot -2.892 eV per atom, total magnetization 0.00 μB per atom. Number 5: E_tot -3.017 eV per atom, total magnetization 0.00 μB per atom. Number 6: E_tot -3.962 eV per atom, total magnetization 0.00 μB per atom. Number 7: E_tot -2.695 eV per atom, total magnetization 0.00 μB per atom. Number 8: E_tot -4.679 eV per atom, total magnetization 0.00 μB per atom. Number 9: E_tot -4.659 eV per atom, total magnetization 0.00 μB per atom. Number 10: E_tot -1.842 eV per atom, total magnetization 0.00 μB per atom.